No. 1
{"formula": "PuZn4Ru", "functional": "GGA-PBE", "state": "relaxed", "cell": [[0.000, 3.646, 3.646], [3.646, 0.000, 3.646], [3.646, 3.646, 0.000]], "species": ["Pu", "Zn", "Zn", "Zn", "Zn", "Ru"], "frac_coords": [[0.000, 0.000, 0.000], [0.376, 0.376, 0.376], [0.376, 0.376, 0.871], [0.376, 0.871, 0.376], [0.871, 0.376, 0.376], [0.750, 0.750, 0.750]], "final_energy_ev_per_atom": -4.89, "dos_at_fermi_per_ev_fu": 7.1}


No. 2
{"formula": "PuZnRu", "functional": "GGA-PBE", "state": "relaxed", "cell": [[2.963, 0.000, 0.000], [0.000, 2.963, 0.000], [0.000, 0.000, 13.889]], "species": ["Pu", "Pu", "Zn", "Zn", "Ru", "Ru"], "frac_coords": [[0.000, 0.000, 0.000], [0.500, 0.500, 0.500], [0.000, 0.000, 0.215], [0.500, 0.500, 0.715], [0.000, 0.000, 0.831], [0.500, 0.500, 0.331]], "final_energy_ev_per_atom": -7.86, "dos_at_fermi_per_ev_fu": 4.5}


No. 3
{"formula": "Pu3Zn3Ru2", "functional": "GGA-PBE", "state": "relaxed", "cell": [[6.834, 0.000, 0.000], [-3.417, 5.918, 0.000], [0.000, 0.000, 3.980]], "species": ["Pu", "Pu", "Pu", "Zn", "Zn", "Zn", "Ru", "Ru"], "frac_coords": [[0.000, 0.585, 0.000], [0.415, 0.415, 0.000], [0.585, 0.000, 0.000], [0.000, 0.225, 0.500], [0.225, 0.000, 0.500], [0.775, 0.775, 0.500], [0.333, 0.667, 0.500], [0.667, 0.333, 0.500]], "final_energy_ev_per_atom": -8.33, "dos_at_fermi_per_ev_fu": 21.0}